w.
! Li6V2O5F2 | the Alexandria database | PBE with a Hubbard U | relaxed; values from VASP
&SYSTEM
  ibrav = 0, nat = 30, ntyp = 4
/
ATOMIC_SPECIES
Li 6.94 Li.upf
V 50.94 V.upf
O 16.00 O.upf
F 19.00 F.upf
ATOMIC_POSITIONS crystal
Li 0.000 0.017 0.000
Li 0.000 0.983 0.500
Li 0.036 0.465 0.987
Li 0.036 0.535 0.487
Li 0.071 0.269 0.224
Li 0.071 0.731 0.724
Li 0.415 0.261 0.485
Li 0.415 0.739 0.985
Li 0.447 0.473 0.721
Li 0.447 0.527 0.221
Li 0.469 0.033 0.701
Li 0.469 0.967 0.201
V 0.502 0.234 0.982
V 0.502 0.766 0.482
V 0.970 0.248 0.723
V 0.970 0.752 0.223
O 0.187 0.258 0.599
O 0.187 0.742 0.099
O 0.244 0.471 0.855
O 0.244 0.529 0.355
O 0.288 0.243 0.108
O 0.288 0.757 0.608
O 0.717 0.028 0.589
O 0.717 0.972 0.089
O 0.737 0.245 0.852
O 0.737 0.755 0.352
F 0.222 0.011 0.349
F 0.222 0.989 0.849
F 0.753 0.474 0.114
F 0.753 0.526 0.614
CELL_PARAMETERS angstrom
5.200 0.000 0.000
0.000 5.960 0.000
-3.438 0.000 9.517
! crystal system: monoclinic
! DOS(E_F): 0.000 states/eV per cell


x.
! Li6V2O5F2 | the Alexandria database | PBE with a Hubbard U | relaxed; values from VASP
&SYSTEM
  ibrav = 0, nat = 30, ntyp = 4
/
ATOMIC_SPECIES
Li 6.94 Li.upf
V 50.94 V.upf
O 16.00 O.upf
F 19.00 F.upf
ATOMIC_POSITIONS crystal
Li 0.000 0.000 0.000
Li 0.005 0.557 0.998
Li 0.139 0.274 0.713
Li 0.182 0.997 0.493
Li 0.333 0.742 0.225
Li 0.359 0.273 0.211
Li 0.447 0.997 0.005
Li 0.584 0.715 0.710
Li 0.593 0.280 0.692
Li 0.744 0.552 0.491
Li 0.759 0.012 0.510
Li 0.846 0.257 0.199
V 0.112 0.773 0.735
V 0.227 0.509 0.469
V 0.472 0.503 0.971
V 0.842 0.746 0.229
O 0.032 0.635 0.357
O 0.159 0.894 0.129
O 0.299 0.639 0.854
O 0.303 0.139 0.856
O 0.405 0.376 0.576
O 0.527 0.636 0.348
O 0.662 0.389 0.095
O 0.662 0.863 0.099
O 0.921 0.891 0.630
O 0.944 0.416 0.606
F 0.152 0.374 0.090
F 0.426 0.896 0.603
F 0.795 0.627 0.854
F 0.999 0.131 0.356
CELL_PARAMETERS angstrom
5.871 0.000 0.000
-2.870 5.130 0.000
-0.077 -1.829 9.706
! crystal system: triclinic


The structure with the greatest stability is x.


w.
! LiV2OF5 | the Alexandria database | PBE with a Hubbard U | relaxed; values from VASP
&SYSTEM
  ibrav = 0, nat = 27, ntyp = 4
/
ATOMIC_SPECIES
Li 6.94 Li.upf
V 50.94 V.upf
O 16.00 O.upf
F 19.00 F.upf
ATOMIC_POSITIONS crystal
Li 0.000 0.000 0.000
Li 0.117 0.203 0.092
Li 0.797 0.883 0.908
V 0.057 0.112 0.580
V 0.242 0.274 0.752
V 0.392 0.445 0.918
V 0.555 0.608 0.082
V 0.726 0.758 0.248
V 0.888 0.943 0.420
O 0.362 0.638 0.000
O 0.431 0.243 0.839
O 0.757 0.569 0.161
F 0.036 0.299 0.694
F 0.036 0.754 0.725
F 0.046 0.497 0.460
F 0.088 0.912 0.500
F 0.168 0.627 0.211
F 0.246 0.964 0.275
F 0.373 0.832 0.789
F 0.387 0.072 0.050
F 0.503 0.954 0.540
F 0.614 0.261 0.622
F 0.701 0.964 0.306
F 0.739 0.386 0.378
F 0.745 0.131 0.116
F 0.869 0.255 0.884
F 0.928 0.613 0.950
CELL_PARAMETERS angstrom
11.271 -2.622 0.000
11.271 2.622 0.000
-0.941 0.000 5.531
! crystal system: monoclinic


x.
! LiV2OF5 | the Alexandria database | PBE with a Hubbard U | relaxed; values from VASP
&SYSTEM
  ibrav = 0, nat = 36, ntyp = 4
/
ATOMIC_SPECIES
Li 6.94 Li.upf
V 50.94 V.upf
O 16.00 O.upf
F 19.00 F.upf
ATOMIC_POSITIONS crystal
Li 0.003 0.997 0.500
Li 0.493 0.501 0.750
Li 0.501 0.493 0.250
Li 0.997 0.003 0.000
V 0.004 0.008 0.659
V 0.008 0.004 0.159
V 0.022 0.032 0.831
V 0.032 0.022 0.331
V 0.473 0.531 0.081
V 0.496 0.501 0.909
V 0.501 0.496 0.409
V 0.531 0.473 0.581
O 0.192 0.806 0.086
O 0.304 0.306 0.837
O 0.306 0.304 0.337
O 0.806 0.192 0.586
F 0.194 0.809 0.912
F 0.196 0.813 0.248
F 0.196 0.816 0.745
F 0.220 0.811 0.415
F 0.229 0.792 0.583
F 0.299 0.311 0.164
F 0.310 0.315 0.998
F 0.311 0.299 0.664
F 0.315 0.310 0.498
F 0.672 0.715 0.995
F 0.694 0.710 0.162
F 0.710 0.694 0.662
F 0.713 0.719 0.833
F 0.715 0.672 0.495
F 0.719 0.713 0.333
F 0.792 0.229 0.083
F 0.809 0.194 0.412
F 0.811 0.220 0.915
F 0.813 0.196 0.748
F 0.816 0.196 0.245
CELL_PARAMETERS angstrom
3.342 -3.341 0.000
3.342 3.341 0.000
-0.249 0.000 18.642
! crystal system: monoclinic


The structure with the greatest stability is x.


w.
! LiV2OF5 | the Alexandria database | PBE with a Hubbard U | relaxed; values from VASP
&SYSTEM
  ibrav = 0, nat = 27, ntyp = 4
/
ATOMIC_SPECIES
Li 6.94 Li.upf
V 50.94 V.upf
O 16.00 O.upf
F 19.00 F.upf
ATOMIC_POSITIONS crystal
Li 0.000 0.000 0.000
Li 0.004 0.017 0.480
Li 0.304 0.361 0.659
V 0.274 0.427 0.419
V 0.279 0.449 0.911
V 0.580 0.814 0.584
V 0.583 0.797 0.091
V 0.898 0.147 0.756
V 0.956 0.107 0.243
O 0.196 0.992 0.129
O 0.311 0.128 0.508
O 0.509 0.332 0.791
F 0.046 0.246 0.888
F 0.143 0.323 0.298
F 0.213 0.789 0.351
F 0.329 0.958 0.708
F 0.367 0.592 0.548
F 0.433 0.686 0.962
F 0.577 0.121 0.001
F 0.666 0.447 0.163
F 0.702 0.237 0.379
F 0.737 0.912 0.212
F 0.797 0.029 0.618
F 0.857 0.665 0.470
F 0.888 0.477 0.672
F 0.985 0.795 0.828
F 0.995 0.617 0.030
CELL_PARAMETERS angstrom
5.225 0.000 0.000
2.589 4.877 0.000
0.288 0.700 12.816
! crystal system: triclinic


x.
! LiV2OF5 | the Alexandria database | PBE with a Hubbard U | relaxed; values from VASP
&SYSTEM
  ibrav = 0, nat = 18, ntyp = 4
/
ATOMIC_SPECIES
Li 6.94 Li.upf
V 50.94 V.upf
O 16.00 O.upf
F 19.00 F.upf
ATOMIC_POSITIONS crystal
Li 0.000 0.013 0.000
Li 0.000 0.987 0.500
V 0.075 0.484 0.720
V 0.075 0.516 0.220
V 0.593 0.017 0.715
V 0.593 0.983 0.215
O 0.895 0.188 0.769
O 0.895 0.812 0.269
F 0.081 0.352 0.466
F 0.081 0.648 0.966
F 0.269 0.182 0.148
F 0.269 0.818 0.648
F 0.395 0.325 0.778
F 0.395 0.675 0.278
F 0.588 0.118 0.460
F 0.588 0.882 0.960
F 0.793 0.291 0.139
F 0.793 0.709 0.639
CELL_PARAMETERS angstrom
5.496 0.000 0.000
0.000 5.130 0.000
-0.755 0.000 7.629
! crystal system: monoclinic
! DOS(E_F): 0.000 states/eV per cell


The structure with the greatest stability is x.


w.
! LiV2OF5 | the Alexandria database | PBE with a Hubbard U | relaxed; values from VASP
&SYSTEM
  ibrav = 0, nat = 27, ntyp = 4
/
ATOMIC_SPECIES
Li 6.94 Li.upf
V 50.94 V.upf
O 16.00 O.upf
F 19.00 F.upf
ATOMIC_POSITIONS crystal
Li 0.000 0.000 0.000
Li 0.007 0.670 0.667
Li 0.490 0.338 0.333
V 0.007 0.322 0.664
V 0.009 0.002 0.342
V 0.009 0.639 0.025
V 0.483 0.996 0.690
V 0.484 0.687 0.345
V 0.485 0.340 0.998
O 0.229 0.114 0.768
O 0.240 0.796 0.435
O 0.261 0.445 0.102
F 0.230 0.772 0.796
F 0.231 0.120 0.109
F 0.239 0.771 0.124
F 0.242 0.442 0.772
F 0.256 0.454 0.445
F 0.268 0.106 0.456
F 0.729 0.221 0.559
F 0.730 0.567 0.227
F 0.736 0.221 0.223
F 0.749 0.230 0.883
F 0.752 0.902 0.226
F 0.754 0.874 0.899
F 0.757 0.898 0.564
F 0.762 0.547 0.894
F 0.763 0.557 0.550
CELL_PARAMETERS angstrom
4.588 0.000 0.000
0.257 8.706 0.000
0.134 4.339 7.568
! crystal system: triclinic
! DOS(E_F): 0.000 states/eV per cell


x.
! LiV2OF5 | the Alexandria database | PBE with a Hubbard U | relaxed; values from VASP
&SYSTEM
  ibrav = 0, nat = 9, ntyp = 4
/
ATOMIC_SPECIES
Li 6.94 Li.upf
V 50.94 V.upf
O 16.00 O.upf
F 19.00 F.upf
ATOMIC_POSITIONS crystal
Li 0.000 0.000 0.000
V 0.618 0.806 0.367
V 0.620 0.334 0.900
O 0.730 0.681 0.132
F 0.108 0.417 0.138
F 0.121 0.174 0.637
F 0.461 0.057 0.137
F 0.547 0.973 0.659
F 0.758 0.602 0.660
CELL_PARAMETERS angstrom
5.149 0.000 0.000
-2.459 4.564 0.000
-2.554 -1.509 4.653
! crystal system: triclinic
! DOS(E_F): 0.000 states/eV per cell


The structure with the greatest stability is w.


w.
! LiV2OF5 | the Alexandria database | PBE with a Hubbard U | relaxed; values from VASP
&SYSTEM
  ibrav = 0, nat = 27, ntyp = 4
/
ATOMIC_SPECIES
Li 6.94 Li.upf
V 50.94 V.upf
O 16.00 O.upf
F 19.00 F.upf
ATOMIC_POSITIONS crystal
Li 0.000 0.000 0.000
Li 0.140 0.169 0.667
Li 0.300 0.161 0.375
V 0.038 0.483 0.853
V 0.241 0.646 0.518
V 0.383 0.839 0.183
V 0.576 0.004 0.851
V 0.710 0.173 0.519
V 0.908 0.320 0.185
O 0.109 0.046 0.147
O 0.423 0.358 0.484
O 0.887 0.200 0.815
F 0.027 0.961 0.561
F 0.197 0.783 0.359
F 0.218 0.786 0.895
F 0.224 0.547 0.145
F 0.250 0.569 0.687
F 0.325 0.261 0.902
F 0.496 0.080 0.686
F 0.560 0.117 0.236
F 0.566 0.874 0.478
F 0.625 0.912 0.019
F 0.673 0.611 0.224
F 0.755 0.704 0.809
F 0.855 0.399 0.020
F 0.901 0.434 0.568
F 0.951 0.259 0.356
CELL_PARAMETERS angstrom
5.157 0.000 0.000
0.065 5.480 0.000
2.574 1.657 11.490
! crystal system: triclinic


x.
! LiV2OF5 | the Alexandria database | PBE with a Hubbard U | relaxed; values from VASP
&SYSTEM
  ibrav = 0, nat = 27, ntyp = 4
/
ATOMIC_SPECIES
Li 6.94 Li.upf
V 50.94 V.upf
O 16.00 O.upf
F 19.00 F.upf
ATOMIC_POSITIONS crystal
Li 0.047 0.008 0.000
Li 0.961 0.953 0.667
Li 0.992 0.039 0.333
V 0.317 0.656 0.487
V 0.339 0.683 0.154
V 0.344 0.661 0.821
V 0.656 0.317 0.154
V 0.661 0.344 0.821
V 0.683 0.339 0.488
O 0.000 0.358 0.419
O 0.358 0.000 0.085
O 0.642 0.642 0.752
F 0.000 0.345 0.080
F 0.000 0.666 0.571
F 0.001 0.638 0.233
F 0.334 0.334 0.904
F 0.344 0.000 0.746
F 0.347 0.001 0.413
F 0.359 0.358 0.235
F 0.362 0.363 0.567
F 0.637 0.999 0.900
F 0.642 0.001 0.568
F 0.654 0.653 0.080
F 0.655 0.656 0.413
F 0.666 0.000 0.238
F 0.999 0.346 0.746
F 0.999 0.641 0.901
CELL_PARAMETERS angstrom
5.261 0.000 0.000
-2.630 4.556 0.000
0.000 0.000 13.757
! crystal system: trigonal
! DOS(E_F): 0.000 states/eV per cell


The structure with the greatest stability is w.


w.
! LiV4OF11 | the Alexandria database | PBE with a Hubbard U | relaxed; values from VASP
&SYSTEM
  ibrav = 0, nat = 17, ntyp = 4
/
ATOMIC_SPECIES
Li 6.94 Li.upf
V 50.94 V.upf
O 16.00 O.upf
F 19.00 F.upf
ATOMIC_POSITIONS crystal
Li 0.000 0.000 0.000
V 0.469 0.159 0.633
V 0.733 0.753 0.409
V 0.926 0.480 0.148
V 0.952 0.568 0.783
O 0.288 0.504 0.654
F 0.092 0.503 0.317
F 0.107 0.622 0.958
F 0.122 0.122 0.134
F 0.136 0.161 0.802
F 0.371 0.001 0.497
F 0.632 0.516 0.326
F 0.703 0.948 0.787
F 0.734 0.478 0.986
F 0.748 0.882 0.180
F 0.772 0.564 0.619
F 0.815 0.010 0.475
CELL_PARAMETERS angstrom
5.646 0.000 0.000
2.653 5.149 0.000
2.361 1.045 8.663
! crystal system: triclinic


x.
! LiV4OF11 | the Alexandria database | PBE with a Hubbard U | relaxed; values from VASP
&SYSTEM
  ibrav = 0, nat = 17, ntyp = 4
/
ATOMIC_SPECIES
Li 6.94 Li.upf
V 50.94 V.upf
O 16.00 O.upf
F 19.00 F.upf
ATOMIC_POSITIONS crystal
Li 0.000 0.000 0.000
V 0.003 0.524 0.240
V 0.496 0.015 0.747
V 0.504 0.015 0.253
V 0.997 0.524 0.760
O 0.000 0.629 0.000
F 0.000 0.422 0.500
F 0.187 0.841 0.700
F 0.190 0.193 0.182
F 0.301 0.315 0.806
F 0.311 0.714 0.310
F 0.500 0.139 0.500
F 0.500 0.902 0.000
F 0.689 0.714 0.690
F 0.699 0.315 0.194
F 0.810 0.193 0.818
F 0.813 0.841 0.300
CELL_PARAMETERS angstrom
5.521 0.000 0.000
0.000 5.262 0.000
-0.579 0.000 7.465
! crystal system: monoclinic


The structure with the greatest stability is x.